Record 1
Compound: KBaAg2Rh
Source: Alexandria
Functional: PBE
Structure: relaxed

The structure belongs to space group P4/mmm (No. 123); the cell edges are 5.4760, 5.4760 and 5.3640 Å and the angles 90.00°, 90.00° and 90.00°. The inequivalent atoms are K at (0.0000, 0.0000, 0.0000), Ba at (0.5000, 0.5000, 0.0000), Ag at (0.0000, 0.5000, 0.5000) and Rh at (0.5000, 0.5000, 0.5000).

The energy of formation is 0.15 eV/atom. The calculation puts the total energy at -15.3 eV/cell.



Record 2
Compound: YBe2Mo
Source: Alexandria
Functional: PBE
Structure: relaxed

The structure belongs to space group Fm-3m (No. 225); the cell edges are 6.2634, 6.2634 and 6.2634 Å and the angles 90.00°, 90.00° and 90.00°. The inequivalent atoms are Y at (0.0000, 0.0000, 0.0000), Be at (0.2500, 0.2500, 0.2500) and Mo at (0.0000, 0.0000, 0.5000).

The offset from the most stable computed form comes out at 253 meV/atom. The energy of formation is 0.31 eV/atom. The calculation puts the total energy at -94.0 eV/cell.



Record 3
Compound: NaTl2In4
Source: Alexandria
Functional: PBE
Structure: relaxed

The structure belongs to space group Fmm2 (No. 42); the cell edges are 8.1190, 9.7722 and 10.3280 Å and the angles 90.00°, 90.00° and 90.00°. The inequivalent atoms are Na at (0.0000, 0.0000, 0.0000), Tl at (0.2500, 0.2500, 0.4897), In at (0.0000, 0.2031, 0.7272) and In at (0.1954, 0.0000, 0.2785).

The offset from the most stable computed form comes out at 21 meV/atom. The energy of formation is 0.02 eV/atom. The calculation puts the total energy at -67.3 eV/cell.